A:
LaDyEr4: optimized geometry, GGA-PBE.

abc: 9.3251 9.3251 9.3251
angles: 90.00 90.00 90.00
Space group F-43m (No. 216)
Inequivalent atoms, fractional coordinates:
La: 0.0000 0.0000 0.0000 x4
Dy: 0.2500 0.2500 0.7500 x4
Er: 0.1242 0.1242 0.3758 x16

Density of states at the Fermi level: 50.83 states/eV/cell
Magnetic moment: 1.62 μB/f.u.

B:
LaDyEr4: optimized geometry, GGA-PBE.

abc: 8.8355 14.7005 6.4146
angles: 90.00 108.98 90.00
Space group C2/c (No. 15)
Inequivalent atoms, fractional coordinates:
La: 0.0000 0.0827 0.2500 x4
Dy: 0.0000 0.4980 0.7500 x4
Er: 0.0935 0.3054 0.5323 x8
Er: 0.2079 0.1346 0.8809 x8

Density of states at the Fermi level: 41.68 states/eV/cell
Magnetic moment: 0.00 μB/f.u.

Comparing the structures above, B comes out on top by 0.135 eV/atom.